Entry 1:
ThHgTeN | PBE-GGA | relaxed

VASP energy (eV/atom): -5.805
Space-group type: No. 129
Raw formation energy (eV per formula unit): -4.03

```
8
Lattice="-0.3249 3.0601 2.8399 -3.7998 -1.3968 1.0703 4.7632 -6.8687 7.9462" Properties=species:S:1:pos:R:3 pbc="T T T"
Hg 1.1880 -1.4884 6.3706
Hg -0.5495 -3.7169 5.4859
N -1.1936 1.9459 2.3975
N -2.9311 -0.2825 1.5127
Th -0.5671 -0.2534 1.7518
Th 1.2056 -4.9519 10.1047
Te -1.8748 -0.5098 4.9657
Te 2.5134 -4.6955 6.8908
```



Entry 2:
Pu3Se3Br | PBE-GGA | relaxed

VASP energy (eV/atom): -9.402
Space-group type: No. 217
Raw formation energy (eV per formula unit): -10.69
Relative energy among the computed polymorphs (eV per atom): 0.000

```
28
Lattice="9.5803 0.0000 -3.3872 -4.7902 8.2968 -3.3872 0.0000 0.0000 10.1615" Properties=species:S:1:pos:R:3 pbc="T T T"
Se 0.0009 4.1609 -2.5483
Se 5.9764 2.0796 4.2260
Se 4.8046 0.0000 0.8503
Se 3.5886 6.2156 -2.5280
Se -2.4023 4.1609 0.8503
Se -1.1872 6.2156 4.2260
Se 4.7911 4.1359 0.8388
Se 3.6029 2.0813 -2.5483
Se 2.4032 0.0000 4.2463
Se 2.3879 4.1359 4.2375
Se -1.2016 2.0813 4.2463
Se 1.1863 6.2172 0.8388
Pu 2.3934 4.1454 -0.8475
Pu 1.2008 6.2230 -4.2353
Pu -2.3968 4.1514 5.9268
Pu 1.1973 2.0738 5.9311
Pu 4.7889 4.1514 -4.2353
Pu -3.5928 6.2230 2.5439
Pu 5.9910 2.0738 -0.8482
Pu 4.7936 0.0000 5.9268
Pu 7.1857 0.0000 2.5439
Pu 3.5907 2.0716 2.5390
Pu -0.0013 4.1454 2.5390
Pu -1.1995 6.2252 -0.8482
Br 7.2206 0.0000 -2.5529
Br 1.1799 2.0436 0.8343
Br 0.0000 0.0000 7.6586
Br -3.6103 6.2532 -2.5529
```



Entry 3:
AcGeBi3 | PBE-GGA | relaxed

VASP energy (eV/atom): -4.066
Space-group type: No. 221
E_form (meV per atom): 8

```
5
Lattice="-3.3845 4.4317 0.0850 -4.4323 -3.3848 -0.0072 0.0458 -0.0719 5.5763" Properties=species:S:1:pos:R:3 pbc="T T T"
Bi 0.0229 -0.0360 2.7881
Bi -1.6923 2.2158 0.0425
Bi -2.2161 -1.6924 -0.0036
Ge 0.0000 0.0000 0.0000
Ac -3.8855 0.4875 2.8270
```



Entry 4:
BaNaNiPb2 | PBE-GGA | relaxed

VASP energy (eV/atom): -3.428
Space-group type: No. 123
E_form (meV per atom): -140

```
5
Lattice="5.2182 0.0000 0.0000 0.0000 5.2182 0.0000 0.0000 0.0000 5.4284" Properties=species:S:1:pos:R:3 pbc="T T T"
Na 0.0000 0.0000 2.7142
Ni 0.0000 0.0000 0.0000
Ba 2.6091 2.6091 2.7142
Pb 2.6091 0.0000 0.0000
Pb 0.0000 2.6091 0.0000
```



Entry 5:
ErU2PaAs4 | PBE-GGA | relaxed

VASP energy (eV/atom): -7.903
Space-group type: No. 10
E_form (meV per atom): -999

```
8
Lattice="-2.6583 3.0617 0.0123 -0.3402 -0.2673 -7.0086 -4.9984 -4.3508 2.7567" Properties=species:S:1:pos:R:3 pbc="T T T"
As -2.6574 0.3820 -1.0704
As -5.3396 -1.9384 -3.1692
As -1.4962 -1.2808 -4.5642
As -3.8424 -3.3373 0.3123
Er -1.4992 1.3972 -3.4982
U -3.8284 -0.6446 1.3845
U -2.6693 -2.3091 -2.1260
Pa 0.0000 0.0000 0.0000
```



Entry 6:
Sr2LaAgS4 | PBE-GGA | relaxed

VASP energy (eV/atom): -5.155
Space-group type: No. 10
Raw formation energy (eV per formula unit): -13.59

```
8
Lattice="-1.6280 3.2614 -2.1662 0.2920 -3.8569 -6.0265 -6.4179 -1.0212 3.2860" Properties=species:S:1:pos:R:3 pbc="T T T"
S -1.3433 -3.1057 -3.6664
S -5.4806 -2.0380 -3.0995
S -2.2733 0.4213 -1.8072
S -4.7826 -1.7724 0.9259
La -0.6680 -0.2977 -4.0963
Sr -3.0629 -2.4390 -1.3702
Sr -4.0230 1.1201 0.5599
Ag 0.0000 0.0000 0.0000
```



Entry 7:
ReTc5B4 | PBE-GGA | relaxed

VASP energy (eV/atom): -9.211
Space-group type: No. 12
E_form (meV per atom): -113

```
10
Lattice="-2.5911 -0.4953 1.2751 -1.0980 -4.3761 -3.9310 4.9324 -0.8971 6.3080" Properties=species:S:1:pos:R:3 pbc="T T T"
Tc 0.7103 -1.9735 4.0431
Tc 0.5331 -3.7951 -0.3910
Tc -1.8445 -2.4357 -1.3279
Tc 0.2425 -4.0453 2.2878
Tc 1.0009 -1.7233 1.3644
B -1.3611 -4.7112 -1.2294
B -0.4970 -3.7736 -2.4757
B 1.7403 -1.9950 6.1279
B 2.6044 -1.0574 4.8816
Re -1.2956 -0.2477 0.6376
```



Entry 8:
Nd4Ho10Th | PBE-GGA | relaxed

VASP energy (eV/atom): -4.568
Space-group type: No. 139
E_form (meV per atom): 250

```
15
Lattice="-7.3113 -2.4473 -2.3877 -0.9964 -8.6905 -1.6836 -5.7161 -2.4539 6.3763" Properties=species:S:1:pos:R:3 pbc="T T T"
Ho -7.1164 -9.1268 -1.7008
Ho -5.0225 -3.5174 -0.2202
Ho -11.9825 -11.0722 1.5516
Ho -9.8886 -5.4628 3.0323
Ho -5.1840 -6.1840 1.7494
Ho -9.0013 -10.0743 2.5252
Ho -6.9073 -4.4649 4.0059
Ho -8.8397 -7.4077 0.5556
Ho -2.0412 -2.5195 0.7534
Ho -4.1352 -8.1289 -0.7272
Th 0.0000 0.0000 0.0000
Nd -8.2383 -3.0020 1.0195
Nd -5.7854 -10.5898 1.2855
Nd -2.1935 -5.3299 -1.4622
Nd -11.8302 -8.2618 3.7672
```



Entry 9:
PmNdP | PBE-GGA | relaxed

VASP energy (eV/atom): -5.699
Space-group type: No. 107
E_form (meV per atom): -723
Relative energy among the computed polymorphs (eV per atom): 0.208

```
3
Lattice="3.5947 0.0000 0.0000 0.0000 3.5947 0.0000 -1.7973 -1.7973 6.5274" Properties=species:S:1:pos:R:3 pbc="T T T"
Nd 0.0000 0.0000 0.5321
Pm 0.0000 0.0000 3.8022
P 1.7973 1.7973 2.1931
```



Entry 10:
SmTm3Te6 | PBE-GGA | relaxed

VASP energy (eV/atom): -5.064
Space-group type: No. 11
Raw formation energy (eV per formula unit): -13.65
Relative energy among the computed polymorphs (eV per atom): 0.000

```
20
Lattice="-1.6113 2.9278 2.7726 -8.1086 3.7116 -8.6319 -5.1637 -9.3721 6.8958" Properties=species:S:1:pos:R:3 pbc="T T T"
Te -9.1360 4.6888 -5.1602
Te -6.2193 -5.0830 3.4533
Te -10.3322 -0.9674 -3.2830
Te -5.7477 -7.4214 6.1967
Te -10.1875 -5.8181 1.9234
Te -11.6068 -1.8424 0.3007
Te -3.2768 -0.8902 0.7359
Te -4.6962 3.0854 -0.8868
Te -6.5834 -0.9365 -1.1369
Te -4.5515 -1.7653 4.3195
Te -8.3003 -1.7962 2.1734
Te -8.6644 2.3503 -2.4167
Tm -11.9861 -4.7375 -0.2630
Tm -5.5445 -2.7652 1.3979
Tm -9.0439 -4.0140 4.0832
Tm -9.3391 0.0326 -0.3614
Tm -2.8975 2.0049 1.2995
Tm -5.8397 1.2813 -3.0467
Sm -9.6959 1.4328 -5.4477
Sm -5.1878 -4.1654 6.4842
```



Entry 11:
InGeSb | PBE-GGA | relaxed

VASP energy (eV/atom): -3.726
Space-group type: No. 1
Raw formation energy (eV per formula unit): 0.30
Relative energy among the computed polymorphs (eV per atom): 0.030

```
6
Lattice="-1.2602 2.2801 3.2106 -5.8704 -2.5014 -0.5095 -0.4525 -4.2091 5.1702" Properties=species:S:1:pos:R:3 pbc="T T T"
Sb -4.2523 -2.2112 1.6671
Sb -1.0906 -0.7309 2.1602
Ge -1.6761 -1.1228 4.8631
Ge -4.0145 -2.2569 4.4373
In -2.9155 -1.9953 7.5529
In -5.6372 -3.4716 6.5675
```



Entry 12:
HfSnCS2 | PBE-GGA | relaxed

VASP energy (eV/atom): -5.463
Space-group type: No. 123
Raw formation energy (eV per formula unit): 4.12

```
5
Lattice="4.2937 0.0000 0.0000 0.0000 4.5576 0.0000 0.0000 0.0000 4.2937" Properties=species:S:1:pos:R:3 pbc="T T T"
Sn 0.0000 2.2788 0.0000
C 0.0000 0.0000 0.0000
Hf 2.1468 2.2788 2.1468
S 2.1468 0.0000 0.0000
S 0.0000 0.0000 2.1468
```